A plane-wave DFT calculation with PBE was carried out for an optimized crystal structure of Ba2YSb3O12.

Cell lengths 7.5018, 7.5018, 17.0123 Å; angles 90.00, 90.00, 120.00 degrees
Space group R-3m (No. 166, hexagonal axes)
Symmetry-distinct sites (fractional):
Ba: 0.0000 0.0000 0.1164 (multiplicity 6)
Y: 0.0000 0.0000 0.5000 (multiplicity 3)
Sb: 0.0000 0.5000 0.0000 (multiplicity 9)
O: 0.0099 0.5049 0.8833 (multiplicity 18)
O: 0.0656 0.5328 0.3226 (multiplicity 18)

Properties
- DFT total energy (Ry/atom) = -0.475